1.
SnSe2Cl8O2 | PBEsol | optimized geometry

Lattice parameters (Å, degrees): 6.557 6.557 16.382 86.89 86.89 89.93
Atoms (fractional coordinates):
Cl 0.845 0.320 0.071
Cl 0.155 0.680 0.929
Cl 0.817 0.681 0.471
Cl 0.367 0.636 0.140
Cl 0.319 0.183 0.029
Cl 0.574 0.904 0.758
Cl 0.633 0.364 0.860
Cl 0.364 0.633 0.360
Cl 0.681 0.817 0.971
Cl 0.904 0.574 0.258
Cl 0.426 0.096 0.242
Cl 0.636 0.367 0.640
Cl 0.680 0.155 0.429
Cl 0.096 0.426 0.742
Cl 0.320 0.845 0.571
Cl 0.183 0.319 0.529
Se 0.775 0.888 0.363
Se 0.225 0.112 0.637
Se 0.112 0.225 0.137
Se 0.888 0.775 0.863
O 0.029 0.984 0.163
O 0.984 0.029 0.663
O 0.016 0.971 0.337
O 0.971 0.016 0.837
Sn 0.802 0.198 0.750
Sn 0.198 0.802 0.250

Its total energy is -3.63 eV/atom. The calculation puts the density of states at the Fermi level at 0.0 states/eV/f.u. The value obtained for the formation energy (no corrections) is -0.66 eV per atom. Its space group is C2/c.

2.
La3CuAu | PBEsol | optimized geometry

Lattice parameters (Å, degrees): 5.696 5.696 5.696 90.00 90.00 90.00
Atoms (fractional coordinates):
La 0.000 0.000 0.500
La 0.000 0.500 0.000
La 0.500 0.000 0.000
Cu 0.500 0.500 0.500
Au 0.000 0.000 0.000

Its total energy is -4.50 eV/atom. The calculation puts the density of states at the Fermi level at 10.5 states/eV/f.u. Its space group is Pm-3m. The formation energy comes out at 34 kJ per mole of atoms.

3.
YBr2 | PBEsol | optimized geometry

Lattice parameters (Å, degrees): 5.035 5.035 6.512 90.00 90.00 120.00
Atoms (fractional coordinates):
Br 0.333 0.667 0.250
Br 0.667 0.333 0.750
Br 0.000 0.000 0.500
Br 0.000 0.000 0.000
Y 0.333 0.667 0.750
Y 0.667 0.333 0.250

Its total energy is -4.75 eV/atom. The calculation puts the density of states at the Fermi level at 2.1 states/eV/f.u. The value obtained for the formation energy (no corrections) is -1.23 eV per atom. Its space group is P6_3/mmc.